Record 1
Here is a relaxed TcGeTe2I crystal from Alexandria via LeMat-Bulk. Energies are from PBE.

The density of states at the Fermi level is 6.70 states/eV/f.u. The final energy is -3.932 eV/atom. The calculation puts the energy relative to the elements, uncorrected at 0.63 eV per atom. The crystal system is tetragonal.

The space group is P4/mmm (No. 123) and the conventional cell measures 5.1493, 5.1493 and 5.6739 Å, with angles of 90.00, 90.00 and 90.00 degrees. The distinct sites, in fractional coordinates, are Tc at (0.0000, 0.0000, 0.0000), Ge at (0.5000, 0.5000, 0.5000), Te at (0.0000, 0.5000, 0.0000) and I at (0.0000, 0.0000, 0.5000).

---

Record 2
Here is a relaxed YTc2GeI crystal from Alexandria via LeMat-Bulk. Energies are from PBE.

The density of states at the Fermi level is 3.37 states/eV/f.u. The final energy is -5.766 eV/atom. The calculation puts the energy relative to the elements, uncorrected at 0.91 eV per atom. The crystal system is tetragonal.

The space group is P4/mmm (No. 123) and the conventional cell measures 4.7130, 4.7130 and 5.6822 Å, with angles of 90.00, 90.00 and 90.00 degrees. The distinct sites, in fractional coordinates, are Y at (0.0000, 0.0000, 0.0000), Tc at (0.0000, 0.5000, 0.5000), Ge at (0.5000, 0.5000, 0.5000) and I at (0.5000, 0.5000, 0.0000).

---

Record 3
Here is a relaxed ZnTcGe2I crystal from Alexandria via LeMat-Bulk. Energies are from PBE.

The density of states at the Fermi level is 1.58 states/eV/f.u. The final energy is -4.052 eV/atom. The calculation puts the energy relative to the elements, uncorrected at 0.43 eV per atom. The crystal system is tetragonal.

The space group is P4/mmm (No. 123) and the conventional cell measures 4.7776, 4.7776 and 5.7601 Å, with angles of 90.00, 90.00 and 90.00 degrees. The distinct sites, in fractional coordinates, are Zn at (0.0000, 0.0000, 0.0000), Tc at (0.5000, 0.5000, 0.5000), Ge at (0.0000, 0.5000, 0.5000) and I at (0.5000, 0.5000, 0.0000).